# 1
DFT (PBE-GGA) results for a geometry-optimized Tb2TmSe structure.

Cell lengths 10.4836, 10.4836, 10.4836 Å; angles 20.44, 20.44, 20.44 degrees
Atoms (fractional coordinates):
Tb1 0.1078 0.1078 0.1078
Tb2 0.8922 0.8922 0.8922
Tm1 0.0000 0.0000 0.0000
Se1 0.5000 0.5000 0.5000

Output
For the energy relative to the lowest polymorph listed for this composition, the calculation gives 157 meV per atom. For the uncorrected energy, the calculation gives -4.833 eV per atom. Its space-group type is R-3m.

# 2
DFT (PBE-GGA) results for a geometry-optimized Cs2NaWBr6 structure.

Cell lengths 14.1342, 14.1342, 14.1342 Å; angles 32.32, 32.32, 32.32 degrees
Atoms (fractional coordinates):
Cs1 0.1265 0.1265 0.1265
Cs2 0.2952 0.2952 0.2952
Cs3 0.7048 0.7048 0.7048
Cs4 0.8735 0.8735 0.8735
Na1 0.4131 0.4131 0.4131
Na2 0.5869 0.5869 0.5869
W1 0.0000 0.0000 0.0000
W2 0.5000 0.5000 0.5000
Br1 0.1470 0.6204 0.6204
Br2 0.1937 0.1937 0.7266
Br3 0.1937 0.7266 0.1937
Br4 0.2734 0.8063 0.8063
Br5 0.3796 0.3796 0.8530
Br6 0.3796 0.8530 0.3796
Br7 0.6204 0.1470 0.6204
Br8 0.6204 0.6204 0.1470
Br9 0.7266 0.1937 0.1937
Br10 0.8063 0.2734 0.8063
Br11 0.8063 0.8063 0.2734
Br12 0.8530 0.3796 0.3796

Output
For the energy relative to the lowest polymorph listed for this composition, the calculation gives 0 meV per atom. For the uncorrected energy, the calculation gives -3.761 eV per atom. Its space-group type is R-3m.

# 3
DFT (PBE-GGA) results for a geometry-optimized Sr3Tc structure.

Cell lengths 9.1200, 9.1200, 4.0433 Å; angles 90.00, 90.00, 95.07 degrees
Atoms (fractional coordinates):
Sr1 0.1387 0.8613 0.7500
Sr2 0.1861 0.4267 0.7500
Sr3 0.4267 0.1861 0.2500
Sr4 0.5733 0.8139 0.7500
Sr5 0.8139 0.5733 0.2500
Sr6 0.8613 0.1387 0.2500
Tc1 0.4523 0.5477 0.2500
Tc2 0.5477 0.4523 0.7500

Output
For the uncorrected energy, the calculation gives -3.565 eV per atom. Its space-group type is Cmcm. The calculation puts the calculated formation energy at 0.29 eV/atom.

# 4
DFT (PBE-GGA) results for a geometry-optimized TbSnHgBi structure.

Cell lengths 4.5107, 4.8575, 4.8898 Å; angles 90.00, 90.00, 90.00 degrees
Atoms (fractional coordinates):
Tb1 0.0000 0.0000 0.0000
Sn1 0.5000 0.0000 0.5000
Hg1 0.0000 0.5000 0.5000
Bi1 0.5000 0.5000 0.0000

Output
For the energy relative to the lowest polymorph listed for this composition, the calculation gives 0 meV per atom. For the uncorrected energy, the calculation gives -3.606 eV per atom. Its space-group type is Pmmm. The calculation puts the calculated formation energy at -0.40 eV/atom.